Model i:
Compound: Pm4Dy3Y4
Source: Alexandria
Functional: PBE
Structure: relaxed

Cell: 3.538 5.657 18.297 Å, 81.13 84.44 90.00°
Fractional coordinates of all 11 atoms:
Pm: 0.546 0.547 0.908
Pm: 0.454 0.453 0.092
Pm: 0.320 0.820 0.360
Pm: 0.680 0.180 0.640
Dy: 0.137 0.637 0.726
Dy: 0.863 0.363 0.274
Dy: 0.000 0.000 0.000
Y: 0.591 0.091 0.819
Y: 0.267 0.267 0.466
Y: 0.733 0.733 0.534
Y: 0.409 0.909 0.181

Model ii:
Compound: Pm4Dy3Y4
Source: Alexandria
Functional: PBE
Structure: relaxed

Cell: 3.605 9.340 12.146 Å, 112.61 98.54 90.00°
Fractional coordinates of all 11 atoms:
Pm: 0.643 0.464 0.286
Pm: 0.357 0.179 0.714
Pm: 0.357 0.536 0.714
Pm: 0.643 0.821 0.286
Dy: 0.891 0.891 0.783
Dy: 0.109 0.109 0.217
Dy: 0.000 0.500 0.000
Y: 0.741 0.241 0.483
Y: 0.259 0.759 0.517
Y: 0.500 0.818 0.000
Y: 0.500 0.182 0.000

Stability ranking, top and bottom: model i is the most stable and model ii is the least stable.

Model i:
Compound: Pm3Dy2Y7
Source: Alexandria
Functional: PBE
Structure: relaxed

Cell: 3.586 5.862 18.861 Å, 93.15 90.00 90.00°
Fractional coordinates of all 12 atoms:
Pm: 0.500 0.500 0.000
Pm: 0.000 0.221 0.366
Pm: 0.000 0.779 0.634
Dy: 0.500 0.709 0.293
Dy: 0.500 0.291 0.707
Y: 0.500 0.743 0.463
Y: 0.500 0.257 0.537
Y: 0.000 0.688 0.144
Y: 0.000 0.000 0.000
Y: 0.000 0.312 0.856
Y: 0.500 0.809 0.822
Y: 0.500 0.191 0.178

Model ii:
Compound: Pm3Dy2Y7
Source: Alexandria
Functional: PBE
Structure: relaxed

Cell: 3.642 5.617 20.654 Å, 90.00 95.06 90.00°
Last column: magnetic moment on the atom in μB.
Fractional coordinates of all 12 atoms:
Pm: 0.500 0.500 0.000  -0.01
Pm: 0.831 0.000 0.662  -0.02
Pm: 0.169 0.000 0.338  -0.02
Dy: 0.363 0.500 0.726  -0.02
Dy: 0.637 0.500 0.274  -0.02
Y: 0.285 0.500 0.570  -0.23
Y: 0.715 0.500 0.430  -0.23
Y: 0.414 0.000 0.829  -0.01
Y: 0.000 0.000 0.000  0.00
Y: 0.586 0.000 0.171  -0.01
Y: 0.067 0.500 0.134  0.00
Y: 0.933 0.500 0.866  0.00

Stability ranking, top and bottom: model i is the most stable and model ii is the least stable.

Model i:
Compound: Pm2Dy3Y8
Source: Alexandria
Functional: PBE
Structure: relaxed

Cell: 5.621 7.634 10.982 Å, 110.34 90.02 90.00°
Fractional coordinates of all 13 atoms:
Pm: 0.499 0.241 0.482
Pm: 0.501 0.759 0.518
Dy: 0.500 0.000 0.000
Dy: 0.000 0.285 0.000
Dy: 0.000 0.715 0.000
Y: 0.000 0.666 0.331
Y: 0.000 0.334 0.669
Y: 0.000 0.131 0.263
Y: 0.000 0.869 0.737
Y: 0.500 0.606 0.787
Y: 0.500 0.181 0.787
Y: 0.500 0.819 0.213
Y: 0.500 0.394 0.213

Model ii:
Compound: Pm2Dy3Y8
Source: Alexandria
Functional: PBE
Structure: relaxed

Cell: 3.524 11.767 20.739 Å, 90.00 90.00 90.00°
Fractional coordinates of all 26 atoms:
Pm: 0.500 0.821 0.099
Pm: 0.500 0.179 0.901
Pm: 0.500 0.321 0.401
Pm: 0.500 0.679 0.599
Dy: 0.000 0.000 0.000
Dy: 0.000 0.500 0.500
Dy: 0.000 0.646 0.201
Dy: 0.000 0.354 0.799
Dy: 0.000 0.146 0.299
Dy: 0.000 0.854 0.701
Y: 0.000 0.708 0.947
Y: 0.000 0.292 0.053
Y: 0.000 0.208 0.553
Y: 0.000 0.792 0.447
Y: 0.000 0.054 0.159
Y: 0.000 0.946 0.841
Y: 0.000 0.554 0.341
Y: 0.000 0.446 0.659
Y: 0.500 0.871 0.286
Y: 0.500 0.129 0.714
Y: 0.500 0.371 0.214
Y: 0.500 0.629 0.786
Y: 0.500 0.546 0.072
Y: 0.500 0.454 0.928
Y: 0.500 0.046 0.428
Y: 0.500 0.954 0.572

Stability ranking, top and bottom: model ii is the most stable and model i is the least stable.

Model i:
Compound: Pm4Dy3Y2
Source: Alexandria
Functional: PBE
Structure: relaxed

Cell: 3.554 8.657 10.058 Å, 98.55 100.18 90.00°
Fractional coordinates of all 9 atoms:
Pm: 0.548 0.686 0.096
Pm: 0.280 0.348 0.560
Pm: 0.452 0.314 0.904
Pm: 0.720 0.652 0.440
Dy: 0.107 0.358 0.214
Dy: 0.893 0.642 0.786
Dy: 0.000 0.000 0.000
Y: 0.667 0.043 0.335
Y: 0.333 0.957 0.665

Model ii:
Compound: Pm4Dy3Y2
Source: Alexandria
Functional: PBE
Structure: relaxed

Cell: 7.078 12.106 12.106 Å, 47.99 54.23 54.23°
Fractional coordinates of all 18 atoms:
Pm: 0.469 0.851 0.180
Pm: 0.031 0.820 0.149
Pm: 0.531 0.149 0.820
Pm: 0.969 0.180 0.851
Pm: 0.846 0.176 0.478
Pm: 0.654 0.522 0.824
Pm: 0.154 0.824 0.522
Pm: 0.346 0.478 0.176
Dy: 0.909 0.170 0.171
Dy: 0.591 0.829 0.830
Dy: 0.091 0.830 0.829
Dy: 0.409 0.171 0.170
Dy: 0.250 0.500 0.500
Dy: 0.750 0.500 0.500
Y: 0.320 0.156 0.524
Y: 0.180 0.476 0.844
Y: 0.680 0.844 0.476
Y: 0.820 0.524 0.156

Stability ranking, top and bottom: model ii is the most stable and model i is the least stable.

Model i:
Compound: Pm3Dy2Y4
Source: Alexandria
Functional: PBE
Structure: relaxed

Cell: 3.592 6.216 15.233 Å, 65.89 90.00 106.79°
Fractional coordinates of all 9 atoms:
Pm: 0.332 0.664 0.558
Pm: 0.000 0.000 0.000
Pm: 0.668 0.336 0.442
Dy: 0.334 0.667 0.221
Dy: 0.666 0.333 0.779
Y: 0.667 0.333 0.111
Y: 0.001 0.001 0.667
Y: 0.999 0.999 0.333
Y: 0.333 0.667 0.889

Model ii:
Compound: Pm3Dy2Y4
Source: Alexandria
Functional: PBE
Structure: relaxed

Cell: 6.112 11.336 11.336 Å, 61.93 63.12 63.12°
Fractional coordinates of all 18 atoms:
Pm: 0.749 0.064 0.269
Pm: 0.751 0.731 0.936
Pm: 0.251 0.936 0.731
Pm: 0.249 0.269 0.064
Pm: 0.250 0.599 0.401
Pm: 0.750 0.401 0.599
Dy: 0.416 0.244 0.521
Dy: 0.084 0.479 0.756
Dy: 0.584 0.756 0.479
Dy: 0.916 0.521 0.244
Y: 0.420 0.911 0.185
Y: 0.080 0.815 0.089
Y: 0.580 0.089 0.815
Y: 0.920 0.185 0.911
Y: 0.076 0.153 0.420
Y: 0.424 0.580 0.847
Y: 0.924 0.847 0.580
Y: 0.576 0.420 0.153

Stability ranking, top and bottom: model i is the most stable and model ii is the least stable.

Model i:
Compound: Pm2Dy2Y
Source: Alexandria
Functional: PBE
Structure: relaxed

Cell: 3.604 3.603 15.019 Å, 96.87 83.11 59.99°
Fractional coordinates of all 5 atoms:
Pm: 0.230 0.437 0.103
Pm: 0.770 0.563 0.897
Dy: 0.636 0.030 0.697
Dy: 0.364 0.970 0.303
Y: 0.500 0.500 0.500

Model ii:
Compound: Pm2Dy2Y
Source: Alexandria
Functional: PBE
Structure: relaxed

Cell: 3.544 5.797 8.693 Å, 109.50 90.00 90.00°
Fractional coordinates of all 5 atoms:
Pm: 0.200 0.783 0.566
Pm: 0.700 0.210 0.420
Dy: 0.200 0.401 0.801
Dy: 0.700 0.590 0.179
Y: 0.200 0.017 0.034

Stability ranking, top and bottom: model i is the most stable and model ii is the least stable.